Run w
VASP calculation (PBE) on a relaxed structure of Ac2NbSb.

Computed properties:
DOS(E_F) = 4.2 states/eV per cell
Total magnetic moment = 1.2 μB/cell

a b c (Å): 12.184 12.184 12.184
angles (deg): 16.49 16.49 16.49
Positions (direct):
Ac1 0.087 0.087 0.087
Ac2 0.913 0.913 0.913
Nb1 0.000 0.000 0.000
Sb1 0.500 0.500 0.500

Run x
VASP calculation (PBE) on a relaxed structure of Ac2NbSb.

Computed properties:
DOS(E_F) = 3.5 states/eV per cell
Total magnetic moment = 2.0 μB/cell

a b c (Å): 5.329 5.329 4.403
angles (deg): 90.00 90.00 90.00
Positions (direct):
Ac1 0.000 0.500 0.000
Ac2 0.500 0.000 0.000
Nb1 0.000 0.000 0.500
Sb1 0.500 0.500 0.500

The calculated energies rank the structures as follows, beginning with the most stable: run x, run w.

Run w
VASP calculation (PBE) on a relaxed structure of AcNb4Se8.

Computed properties:
DOS(E_F) = 4.7 states/eV per cell
Total magnetic moment = 0.0 μB/cell

a b c (Å): 8.693 8.693 8.693
angles (deg): 48.13 48.13 48.13
Positions (direct):
Ac1 0.000 0.000 0.000
Nb1 0.000 0.000 0.500
Nb2 0.000 0.500 0.000
Nb3 0.500 0.000 0.000
Nb4 0.500 0.500 0.500
Se1 0.239 0.239 0.239
Se2 0.249 0.734 0.734
Se3 0.266 0.266 0.751
Se4 0.266 0.751 0.266
Se5 0.734 0.249 0.734
Se6 0.734 0.734 0.249
Se7 0.751 0.266 0.266
Se8 0.761 0.761 0.761

Run x
VASP calculation (PBE) on a relaxed structure of AcNb4Se8.

Computed properties:
DOS(E_F) = 8.0 states/eV per cell
Total magnetic moment = 0.8 μB/cell

a b c (Å): 7.765 7.765 7.765
angles (deg): 60.00 60.00 60.00
Positions (direct):
Ac1 0.000 0.000 0.000
Nb1 0.398 0.398 0.398
Nb2 0.398 0.398 0.807
Nb3 0.398 0.807 0.398
Nb4 0.807 0.398 0.398
Se1 0.110 0.630 0.630
Se2 0.149 0.149 0.149
Se3 0.149 0.149 0.553
Se4 0.149 0.553 0.149
Se5 0.553 0.149 0.149
Se6 0.630 0.110 0.630
Se7 0.630 0.630 0.110
Se8 0.630 0.630 0.630

The calculated energies rank the structures as follows, beginning with the most stable: run w, run x.

Run w
VASP calculation (PBE) on a relaxed structure of AcZr2Nb.

Computed properties:
DOS(E_F) = 6.6 states/eV per cell
Total magnetic moment = 0.2 μB/cell

a b c (Å): 11.281 11.281 11.281
angles (deg): 16.92 16.92 16.92
Positions (direct):
Ac1 0.000 0.000 0.000
Zr1 0.099 0.099 0.099
Zr2 0.901 0.901 0.901
Nb1 0.500 0.500 0.500

Run x
VASP calculation (PBE) on a relaxed structure of AcZr2Nb.

Computed properties:
DOS(E_F) = 7.5 states/eV per cell
Total magnetic moment = 0.0 μB/cell

a b c (Å): 3.582 3.582 8.105
angles (deg): 90.00 90.00 90.00
Positions (direct):
Ac1 0.000 0.000 0.000
Zr1 0.500 0.500 0.308
Zr2 0.500 0.500 0.692
Nb1 0.000 0.000 0.500

The calculated energies rank the structures as follows, beginning with the most stable: run x, run w.

Run w
VASP calculation (PBE) on a relaxed structure of AcNd.

Computed properties:
DOS(E_F) = 4.9 states/eV per cell
Total magnetic moment = 0.0 μB/cell

a b c (Å): 4.309 4.309 4.309
angles (deg): 90.00 90.00 90.00
Positions (direct):
Ac1 0.000 0.000 0.000
Nd1 0.500 0.500 0.500

Run x
VASP calculation (PBE) on a relaxed structure of AcNd.

Computed properties:
DOS(E_F) = 8.2 states/eV per cell
Total magnetic moment = 0.0 μB/cell

a b c (Å): 6.687 6.687 6.687
angles (deg): 132.33 132.24 69.78
Positions (direct):
Ac1 0.375 0.125 0.250
Ac2 0.625 0.875 0.750
Nd1 0.125 0.375 0.750
Nd2 0.875 0.625 0.250

The calculated energies rank the structures as follows, beginning with the most stable: run x, run w.

Run w
VASP calculation (PBE) on a relaxed structure of Ac5Nd2.

Computed properties:
DOS(E_F) = 14.7 states/eV per cell
Total magnetic moment = 0.0 μB/cell

a b c (Å): 9.470 9.470 9.470
angles (deg): 38.59 38.59 38.59
Positions (direct):
Ac1 0.000 0.000 0.000
Ac2 0.270 0.270 0.270
Ac3 0.423 0.423 0.423
Ac4 0.577 0.577 0.577
Ac5 0.730 0.730 0.730
Nd1 0.137 0.137 0.137
Nd2 0.863 0.863 0.863

Run x
VASP calculation (PBE) on a relaxed structure of Ac5Nd2.

Computed properties:
DOS(E_F) = 27.8 states/eV per cell
Total magnetic moment = 0.0 μB/cell

a b c (Å): 12.704 12.704 3.753
angles (deg): 90.00 90.00 90.00
Positions (direct):
Ac1 0.000 0.500 0.000
Ac2 0.060 0.202 0.000
Ac3 0.202 0.940 0.000
Ac4 0.298 0.440 0.000
Ac5 0.440 0.702 0.000
Ac6 0.500 0.000 0.000
Ac7 0.560 0.298 0.000
Ac8 0.702 0.560 0.000
Ac9 0.798 0.060 0.000
Ac10 0.940 0.798 0.000
Nd1 0.180 0.680 0.500
Nd2 0.320 0.180 0.500
Nd3 0.680 0.820 0.500
Nd4 0.820 0.320 0.500

The calculated energies rank the structures as follows, beginning with the most stable: run w, run x.

Run w
VASP calculation (PBE) on a relaxed structure of AcNd6.

Computed properties:
DOS(E_F) = 5.7 states/eV per cell
Total magnetic moment = 0.0 μB/cell

a b c (Å): 7.193 7.193 7.193
angles (deg): 109.47 109.47 109.47
Positions (direct):
Ac1 0.000 0.000 0.000
Nd1 0.250 0.500 0.750
Nd2 0.250 0.750 0.500
Nd3 0.500 0.250 0.750
Nd4 0.500 0.750 0.250
Nd5 0.750 0.250 0.500
Nd6 0.750 0.500 0.250

Run x
VASP calculation (PBE) on a relaxed structure of AcNd6.

Computed properties:
DOS(E_F) = 16.8 states/eV per cell
Total magnetic moment = 0.0 μB/cell

a b c (Å): 9.128 9.128 9.128
angles (deg): 118.26 118.26 118.26
Positions (direct):
Ac1 0.000 0.000 0.000
Nd1 0.083 0.518 0.244
Nd2 0.244 0.083 0.518
Nd3 0.482 0.756 0.917
Nd4 0.518 0.244 0.083
Nd5 0.756 0.917 0.482
Nd6 0.917 0.482 0.756

The calculated energies rank the structures as follows, beginning with the most stable: run x, run w.

Run w
VASP calculation (PBE) on a relaxed structure of Ac4Nd5.

Computed properties:
DOS(E_F) = 27.1 states/eV per cell
Total magnetic moment = 0.0 μB/cell

a b c (Å): 10.523 10.523 7.376
angles (deg): 90.00 90.00 120.00
Positions (direct):
Ac1 0.000 0.000 0.000
Ac2 0.000 0.000 0.500
Ac3 0.000 0.343 0.250
Ac4 0.000 0.657 0.750
Ac5 0.343 0.000 0.250
Ac6 0.343 0.343 0.750
Ac7 0.657 0.000 0.750
Ac8 0.657 0.657 0.250
Nd1 0.000 0.329 0.750
Nd2 0.000 0.671 0.250
Nd3 0.329 0.000 0.750
Nd4 0.329 0.329 0.250
Nd5 0.333 0.667 0.000
Nd6 0.333 0.667 0.500
Nd7 0.667 0.333 0.000
Nd8 0.667 0.333 0.500
Nd9 0.671 0.000 0.250
Nd10 0.671 0.671 0.750

Run x
VASP calculation (PBE) on a relaxed structure of Ac4Nd5.

Computed properties:
DOS(E_F) = 15.7 states/eV per cell
Total magnetic moment = 0.0 μB/cell

a b c (Å): 10.069 10.069 10.069
angles (deg): 157.98 110.29 74.11
Positions (direct):
Ac1 0.005 0.837 0.168
Ac2 0.331 0.163 0.168
Ac3 0.669 0.837 0.832
Ac4 0.995 0.163 0.832
Nd1 0.000 0.500 0.500
Nd2 0.336 0.836 0.500
Nd3 0.342 0.500 0.842
Nd4 0.658 0.500 0.158
Nd5 0.664 0.164 0.500

The calculated energies rank the structures as follows, beginning with the most stable: run x, run w.

Run w
VASP calculation (PBE) on a relaxed structure of Ac4Nd.

Computed properties:
DOS(E_F) = 13.5 states/eV per cell
Total magnetic moment = 0.0 μB/cell

a b c (Å): 8.513 8.513 8.513
angles (deg): 104.24 104.24 120.53
Positions (direct):
Ac1 0.227 0.286 0.559
Ac2 0.227 0.668 0.941
Ac3 0.286 0.227 0.059
Ac4 0.332 0.773 0.559
Ac5 0.668 0.227 0.441
Ac6 0.714 0.773 0.941
Ac7 0.773 0.332 0.059
Ac8 0.773 0.714 0.441
Nd1 0.125 0.875 0.250
Nd2 0.875 0.125 0.750

Run x
VASP calculation (PBE) on a relaxed structure of Ac4Nd.

Computed properties:
DOS(E_F) = 10.4 states/eV per cell
Total magnetic moment = 0.0 μB/cell

a b c (Å): 6.818 6.818 6.818
angles (deg): 99.58 99.58 131.85
Positions (direct):
Ac1 0.101 0.298 0.399
Ac2 0.298 0.899 0.196
Ac3 0.702 0.101 0.804
Ac4 0.899 0.702 0.601
Nd1 0.500 0.500 0.000

The calculated energies rank the structures as follows, beginning with the most stable: run x, run w.

Run w
VASP calculation (PBE) on a relaxed structure of Ac3Nd8.

Computed properties:
DOS(E_F) = 20.0 states/eV per cell
Total magnetic moment = 0.0 μB/cell

a b c (Å): 5.306 6.535 13.618
angles (deg): 103.79 90.04 113.90
Positions (direct):
Ac1 0.000 0.000 0.000
Ac2 0.091 0.182 0.639
Ac3 0.909 0.818 0.361
Nd1 0.181 0.362 0.272
Nd2 0.273 0.546 0.909
Nd3 0.362 0.723 0.545
Nd4 0.455 0.910 0.180
Nd5 0.545 0.090 0.820
Nd6 0.638 0.277 0.455
Nd7 0.727 0.454 0.091
Nd8 0.819 0.638 0.728

Run x
VASP calculation (PBE) on a relaxed structure of Ac3Nd8.

Computed properties:
DOS(E_F) = 15.2 states/eV per cell
Total magnetic moment = 0.0 μB/cell

a b c (Å): 7.543 7.543 7.543
angles (deg): 85.70 85.70 85.70
Positions (direct):
Ac1 0.000 0.500 0.500
Ac2 0.500 0.000 0.500
Ac3 0.500 0.500 0.000
Nd1 0.101 0.700 0.865
Nd2 0.135 0.899 0.300
Nd3 0.300 0.135 0.899
Nd4 0.394 0.394 0.394
Nd5 0.606 0.606 0.606
Nd6 0.700 0.865 0.101
Nd7 0.865 0.101 0.700
Nd8 0.899 0.300 0.135

The calculated energies rank the structures as follows, beginning with the most stable: run w, run x.

Run w
VASP calculation (PBE) on a relaxed structure of Ac3Nd2.

Computed properties:
DOS(E_F) = 16.8 states/eV per cell
Total magnetic moment = 0.0 μB/cell

a b c (Å): 9.905 9.905 9.905
angles (deg): 44.47 44.47 44.47
Positions (direct):
Ac1 0.219 0.750 0.281
Ac2 0.250 0.719 0.781
Ac3 0.281 0.219 0.750
Ac4 0.719 0.781 0.250
Ac5 0.750 0.281 0.219
Ac6 0.781 0.250 0.719
Nd1 0.191 0.191 0.191
Nd2 0.309 0.309 0.309
Nd3 0.691 0.691 0.691
Nd4 0.809 0.809 0.809

Run x
VASP calculation (PBE) on a relaxed structure of Ac3Nd2.

Computed properties:
DOS(E_F) = 12.0 states/eV per cell
Total magnetic moment = 0.0 μB/cell

a b c (Å): 10.289 10.289 3.937
angles (deg): 90.00 90.00 90.00
Positions (direct):
Ac1 0.000 0.000 0.000
Ac2 0.176 0.324 0.500
Ac3 0.324 0.824 0.500
Ac4 0.500 0.500 0.000
Ac5 0.676 0.176 0.500
Ac6 0.824 0.676 0.500
Nd1 0.121 0.621 0.000
Nd2 0.379 0.121 0.000
Nd3 0.621 0.879 0.000
Nd4 0.879 0.379 0.000

The calculated energies rank the structures as follows, beginning with the most stable: run x, run w.

Run w
VASP calculation (PBE) on a relaxed structure of Ac3Nd5.

Computed properties:
DOS(E_F) = 16.2 states/eV per cell
Total magnetic moment = 0.0 μB/cell

a b c (Å): 3.729 3.729 25.199
angles (deg): 90.00 90.00 117.31
Positions (direct):
Ac1 0.000 0.000 0.000
Ac2 0.500 0.500 0.136
Ac3 0.500 0.500 0.864
Nd1 0.000 0.000 0.263
Nd2 0.000 0.000 0.500
Nd3 0.000 0.000 0.737
Nd4 0.500 0.500 0.381
Nd5 0.500 0.500 0.619

Run x
VASP calculation (PBE) on a relaxed structure of Ac3Nd5.

Computed properties:
DOS(E_F) = 14.0 states/eV per cell
Total magnetic moment = 0.0 μB/cell

a b c (Å): 3.831 3.831 21.133
angles (deg): 90.00 90.00 90.00
Positions (direct):
Ac1 0.000 0.000 0.000
Ac2 0.500 0.500 0.373
Ac3 0.500 0.500 0.627
Nd1 0.000 0.000 0.245
Nd2 0.000 0.000 0.500
Nd3 0.000 0.000 0.755
Nd4 0.500 0.500 0.128
Nd5 0.500 0.500 0.872

The calculated energies rank the structures as follows, beginning with the most stable: run x, run w.

Run w
VASP calculation (PBE) on a relaxed structure of AcNdNi.

Computed properties:
DOS(E_F) = 6.4 states/eV per cell
Total magnetic moment = 0.0 μB/cell

a b c (Å): 7.526 7.526 7.526
angles (deg): 149.95 121.87 66.82
Positions (direct):
Ac1 0.223 0.223 0.000
Ac2 0.777 0.777 0.000
Nd1 0.262 0.500 0.762
Nd2 0.738 0.500 0.238
Ni1 0.397 0.897 0.500
Ni2 0.603 0.103 0.500

Run x
VASP calculation (PBE) on a relaxed structure of AcNdNi.

Computed properties:
DOS(E_F) = 5.3 states/eV per cell
Total magnetic moment = 0.0 μB/cell

a b c (Å): 5.060 5.060 5.060
angles (deg): 60.00 60.00 60.00
Positions (direct):
Ac1 0.000 0.000 0.000
Nd1 0.500 0.500 0.500
Ni1 0.250 0.250 0.250

The calculated energies rank the structures as follows, beginning with the most stable: run w, run x.